Computed, not measured: an optimized crystal structure of ZrFe2Pd2 at the PBE level of DFT.

Geometry as POSCAR:
```
ZrFe2Pd2
1.0
3.513 0.000 0.000
0.000 3.513 0.000
1.757 1.757 6.610
Pd Fe Zr
2 2 1
Direct
0.398 0.398 0.203
0.602 0.602 0.797
0.250 0.750 0.500
0.750 0.250 0.500
0.000 0.000 0.000
```

## Properties
**ΔH_f (0 K)**: -0.0966 eV per atom
**Uncorrected energy**: -36.34 eV/cell
**Energy above the most stable polymorph in this dataset**: 0.016 eV per atom
**SG**: I4/mmm, No. 139